{
  "formula": "LaSnAs2",
  "functional": "PBE-GGA",
  "state": "relaxed",
  "lattice_angstrom": [[-3.386, 3.386, 6.231], [3.386, -3.386, 6.231], [3.386, 3.386, -6.231]],
  "species": ["La", "La", "Sn", "Sn", "As", "As", "As", "As"],
  "fractional_positions": [[0.000, 0.000, 0.000], [0.750, 0.250, 0.500], [0.250, 0.750, 0.500], [0.500, 0.500, 0.000], [0.151, 0.625, 0.026], [0.375, 0.401, 0.526], [0.599, 0.125, 0.974], [0.875, 0.849, 0.474]],
  "magmom_total_mub_per_atom": 0.00,
  "spacegroup": "I-42d (122)",
  "dft_energy_ev_per_fu": -20.04,
  "formation_enthalpy_0k_ev_per_atom": -0.452
}

{
  "formula": "LaTc2SnAs",
  "functional": "PBE-GGA",
  "state": "relaxed",
  "lattice_angstrom": [[4.697, 0.000, 0.000], [0.000, 4.697, 0.000], [0.000, 0.000, 5.379]],
  "species": ["La", "Tc", "Tc", "Sn", "As"],
  "fractional_positions": [[0.000, 0.000, 0.000], [0.000, 0.500, 0.500], [0.500, 0.000, 0.500], [0.500, 0.500, 0.000], [0.500, 0.500, 0.500]],
  "magmom_total_mub_per_atom": 0.35,
  "spacegroup": "P4/mmm (123)",
  "dft_energy_ev_per_fu": -32.04,
  "formation_enthalpy_0k_ev_per_atom": 0.455
}